[1]
6
Lattice="4.055 0.000 0.000 -2.027 5.325 -0.910 0.000 0.583 5.974" Properties=species:S:1:pos:R:3 comment="PBE YGe2, relaxed" formation_enthalpy_0k_ev_per_fu=-1.71 e_tot_ev_per_fu=-17.412 crystal_system=monoclinic space_group=Cm pbc="T T T"
Y 0.000 0.108 0.248
Ge 0.000 3.735 0.853
Ge 0.000 0.380 3.199
Ge 2.027 2.317 -0.030
Ge 0.000 4.632 3.530
Y 2.027 2.515 3.018

***

[2]
5
Lattice="3.816 0.000 1.626 1.124 4.903 2.653 -0.167 0.022 5.684" Properties=species:S:1:pos:R:3 comment="PBE Y2ZnGe2, relaxed" formation_enthalpy_0k_ev_per_fu=-3.37 e_tot_ev_per_fu=-26.809 crystal_system=orthorhombic space_group=Immm pbc="T T T"
Zn 2.470 2.451 2.139
Ge 0.200 1.083 2.176
Ge 4.573 3.842 7.786
Y 3.547 3.882 4.902
Y 1.226 1.043 5.061

***

[3]
8
Lattice="4.081 0.000 0.000 0.000 4.081 0.000 -2.041 -2.041 9.430" Properties=species:S:1:pos:R:3 comment="PBE YZnGe2, relaxed" formation_enthalpy_0k_ev_per_fu=-1.94 e_tot_ev_per_fu=-18.911 crystal_system=tetragonal space_group=I4/mmm pbc="T T T"
Ge 0.000 2.041 0.000
Ge 2.041 2.041 2.987
Zn 0.000 2.041 4.715
Ge 2.041 0.000 0.000
Zn 2.041 0.000 4.715
Y 2.041 2.041 7.246
Ge 0.000 0.000 6.443
Y 0.000 0.000 2.184

***

[4]
18
Lattice="5.813 0.000 0.000 0.000 7.788 0.000 -2.907 0.000 7.594" Properties=species:S:1:pos:R:3 comment="PBE Y2Zn3Ge4, relaxed" formation_enthalpy_0k_ev_per_fu=-3.67 e_tot_ev_per_fu=-38.893 crystal_system=orthorhombic space_group=Cmce pbc="T T T"
Zn 4.360 1.947 3.233
Ge -1.453 5.841 6.886
Zn 1.453 5.841 4.361
Ge 1.453 1.947 0.708
Y 2.907 7.139 1.759
Zn -1.453 5.841 4.361
Y 0.000 4.543 1.759
Y 0.000 0.649 5.836
Ge 0.000 7.408 2.865
Ge 1.453 5.841 6.886
Zn 1.453 1.947 3.233
Ge 0.000 3.514 4.729
Zn 0.000 0.000 0.000
Y 2.907 3.245 5.836
Ge 2.907 0.381 4.729
Zn 2.907 3.894 0.000
Ge 2.907 4.275 2.865
Ge 4.360 1.947 0.708

***

[5]
4
Lattice="-3.357 -1.560 -2.361 -3.689 -1.278 2.008 -4.148 3.574 -0.546" Properties=species:S:1:pos:R:3 comment="PBE YZnGe2, relaxed" formation_enthalpy_0k_ev_per_fu=-1.20 e_tot_ev_per_fu=-18.168 crystal_system=trigonal space_group=R-3m pbc="T T T"
Zn -5.597 0.368 -0.449
Y 0.000 0.000 0.000
Ge -2.972 0.619 -0.266
Ge -8.222 0.116 -0.632

***

[6]
5
Lattice="-0.227 3.348 -4.231 -5.389 -0.344 0.017 -0.259 4.223 3.356" Properties=species:S:1:pos:R:3 comment="PBE YZn3Ge, relaxed" formation_enthalpy_0k_ev_per_fu=5.30 e_tot_ev_per_fu=-9.599 e_above_lowest_polymorph_mev_per_atom=842 crystal_system=cubic space_group=Pm-3m pbc="T T T"
Zn -2.695 -0.172 0.009
Zn -0.114 1.674 -2.115
Y 0.000 0.000 0.000
Zn -0.129 2.111 1.678
Ge -2.938 3.614 -0.429

***

[7]
10
Lattice="7.952 0.000 0.000 0.000 7.952 0.000 0.000 0.000 3.816" Properties=species:S:1:pos:R:3 comment="PBE Y2Zn2Ge, relaxed" formation_enthalpy_0k_ev_per_fu=-0.81 e_tot_ev_per_fu=-20.905 e_above_lowest_polymorph_mev_per_atom=298 crystal_system=tetragonal space_group=P4/mbm pbc="T T T"
Ge 0.000 0.000 0.000
Zn 6.998 3.022 1.908
Y 5.379 1.403 0.000
Zn 3.022 0.954 1.908
Y 6.549 5.379 0.000
Ge 3.976 3.976 0.000
Y 1.403 2.573 0.000
Y 2.573 6.549 0.000
Zn 4.930 6.998 1.908
Zn 0.954 4.930 1.908

***

[8]
10
Lattice="3.973 0.000 -0.706 0.000 4.041 0.000 0.016 0.000 11.620" Properties=species:S:1:pos:R:3 comment="PBE YZn2Ge2, relaxed" formation_enthalpy_0k_ev_per_fu=-1.90 e_tot_ev_per_fu=-20.146 crystal_system=orthorhombic space_group=Cmcm pbc="T T T"
Y 1.406 1.010 7.912
Zn 3.825 1.010 9.988
Y 2.583 3.030 3.002
Zn 2.143 1.010 0.525
Ge 2.989 1.010 5.285
Zn 1.847 3.030 10.389
Zn 0.165 3.030 0.926
Ge 1.000 3.030 5.629
Ge 0.467 1.010 2.626
Ge 3.522 3.030 8.287